(1)
## TmPtPb2 (PBE-GGA)

Data for a geometry-optimized TmPtPb2 structure.

a = 3.5518 Å, b = 3.5518 Å, c = 30.6720 Å
α = 90.00°, β = 90.00°, γ = 120.00°
Space group R-3m (No. 166, hexagonal axes)
Symmetry-distinct sites (fractional):
Tm: 0.0000 0.0000 0.0000 (multiplicity 3)
Pt: 0.0000 0.0000 0.5000 (multiplicity 3)
Pb: 0.0000 0.0000 0.1023 (multiplicity 6)

M_tot   0.00 μB per cell
Density   11.57 g/cm3
D(E_F)   9.664 states/eV per cell
Energy of formation   19 meV/atom

(2)
## Tl2CdP2S6 (PBE-GGA)

Data for a geometry-optimized Tl2CdP2S6 structure.

a = 12.423 Å, b = 6.696 Å, c = 6.943 Å
α = 90.00°, β = 105.15°, γ = 90.00°
Space group C2/m (No. 12)
Symmetry-distinct sites (fractional):
Tl: 0.203 0.000 0.214 (multiplicity 4)
Cd: 0.000 0.000 0.500 (multiplicity 2)
P: 0.009 0.500 0.170 (multiplicity 4)
S: 0.082 0.249 0.798 (multiplicity 8)
S: 0.171 0.500 0.309 (multiplicity 4)

M_tot   0.00 μB per cell
Density   4.62 g/cm3
ΔE_f (raw)   -0.3321 eV/atom

(3)
## TmLu2In (PBE-GGA)

Data for a geometry-optimized TmLu2In structure.

a = 3.514 Å, b = 3.514 Å, c = 8.994 Å
α = 90.00°, β = 90.00°, γ = 90.00°
Space group P4/mmm (No. 123)
Symmetry-distinct sites (fractional):
Tm: 0.000 0.000 0.000 (multiplicity 1)
Lu: 0.500 0.500 0.269 (multiplicity 2)
In: 0.000 0.000 0.500 (multiplicity 1)

M_tot   0.00 μB per cell
Density   9.48 g/cm3
D(E_F)   3.696 states/eV per cell
E above lowest polymorph   0.022 eV/atom
Energy of formation   -230 meV/atom